Record 1
The following is a SCAN calculation of a PBEsol-optimized structure of Na2MoO, from Alexandria via LeMat-Bulk.

Unit cell a=3.836 b=7.118 c=7.118 alpha=85.84 beta=74.37 gamma=74.37
Site moments in Bohr magnetons follow the coordinates.
Element x y z (fractional)
Na: 0.273 0.352 0.852  -0.01
Na: 0.477 0.648 0.148  -0.01
Na: 0.875 0.852 0.648  -0.01
O: 0.500 0.000 0.000  -0.11
Na: 0.375 0.148 0.352  -0.01
O: 0.250 0.500 0.500  -0.11
Mo: 0.000 0.000 0.000  2.56
Mo: 0.750 0.500 0.500  2.56

Summary:
ΔE_f (raw)	-0.192	eV per atom
size of the total moment	5.11	μB per cell
electronic total energy	-12.579	eV/atom

Record 2
The following is a SCAN calculation of a PBEsol-optimized structure of Li2CaRu, from Alexandria via LeMat-Bulk.

Unit cell a=3.683 b=4.508 c=5.047 alpha=116.53 beta=111.40 gamma=90.00
Site moments in Bohr magnetons follow the coordinates.
Element x y z (fractional)
Li: 0.756 0.256 0.512  -0.01
Li: 0.014 0.014 0.028  -0.01
Ru: 0.484 0.484 0.967  0.37
Ca: 0.246 0.746 0.493  -0.01

Summary:
formation enthalpy at 0 K	0.35	eV per atom
size of the total moment	0.30	μB per cell
electronic total energy	-11.967	eV/atom

Q: Which formula does entry 2 have?
A: Li2CaRu